(1)
# HgS2F

A geometry-optimized HgS2F structure (PBE-GGA, Alexandria).

E_form (uncorrected) = 0.37 eV/atom
distance to the lowest polymorph of the same formula = 0.655 eV/atom
space group = R-3m

a b c (Å): 9.6669 9.6669 9.6669
angles (deg): 17.00 17.00 17.00
Closest atoms and distances in Å follow each position.
Positions (direct):
Hg 0.0000 0.0000 0.0000  6 Hg 2.86, 6 S 3.20
S 0.4292 0.4292 0.4292  1 F 2.02
S 0.5708 0.5708 0.5708  1 F 2.02
F 0.5000 0.5000 0.5000  2 S 2.02

=====

(2)
# NaPu4Br10

A geometry-optimized NaPu4Br10 structure (PBE-GGA, Alexandria).

E_form (uncorrected) = -1.48 eV/atom
space group = I4/m

a b c (Å): 8.8721 8.8721 8.8721
angles (deg): 99.59 99.59 131.81
Closest atoms and distances in Å follow each position.
Positions (direct):
Na 0.0000 0.0000 0.0000  8 Br 3.17
Pu 0.2032 0.6020 0.8052  8 Br 3.11-3.17
Pu 0.3980 0.2032 0.6012  8 Br 3.11-3.17
Pu 0.6020 0.7968 0.3988  8 Br 3.11-3.17
Pu 0.7968 0.3980 0.1948  8 Br 3.11-3.17
Br 0.0492 0.1527 0.6968  3 Pu 3.11-3.12, 1 Na 3.17
Br 0.1527 0.4559 0.1035  3 Pu 3.11-3.12, 1 Na 3.17
Br 0.2500 0.7500 0.5000  4 Pu 3.17
Br 0.3524 0.0492 0.8965  3 Pu 3.11-3.12, 1 Na 3.17
Br 0.4559 0.3524 0.3032  3 Pu 3.11-3.12, 1 Na 3.17
Br 0.5441 0.6476 0.6968  3 Pu 3.11-3.12, 1 Na 3.17
Br 0.6476 0.9508 0.1035  3 Pu 3.11-3.12, 1 Na 3.17
Br 0.7500 0.2500 0.5000  4 Pu 3.17
Br 0.8473 0.5441 0.8965  3 Pu 3.11-3.12, 1 Na 3.17
Br 0.9508 0.8473 0.3032  3 Pu 3.11-3.12, 1 Na 3.17

=====

(3)
# PmErInRu

A geometry-optimized PmErInRu structure (PBE-GGA, Alexandria).

formation energy from the elements = -0.29 eV/atom
space group = F-43m

a b c (Å): 5.1074 5.1074 5.1074
angles (deg): 60.00 60.00 60.00
Closest atoms and distances in Å follow each position.
Positions (direct):
Pm 0.0000 0.0000 0.0000  4 In 3.13, 4 Ru 3.13
Er 0.5000 0.5000 0.5000  4 In 3.13, 4 Ru 3.13
In 0.2500 0.2500 0.2500  4 Er 3.13, 4 Pm 3.13
Ru 0.7500 0.7500 0.7500  4 Er 3.13, 4 Pm 3.13

=====

(4)
# SmZnGa3Rh

A geometry-optimized SmZnGa3Rh structure (PBE-GGA, Alexandria).

formation energy from the elements = -0.28 eV/atom
space group = Cmcm

a b c (Å): 6.7509 6.7509 6.2435
angles (deg): 90.00 90.00 124.41
Closest atoms and distances in Å follow each position.
Positions (direct):
Sm 0.2057 0.7943 0.7500  1 Zn 2.83
Sm 0.7943 0.2057 0.2500  1 Zn 2.83
Zn 0.4425 0.5575 0.7500  5 Ga 2.51-2.64
Zn 0.5575 0.4425 0.2500  5 Ga 2.51-2.64
Ga 0.2074 0.2074 0.0000  2 Zn 2.51, 2 Rh 2.56, 1 Ga 2.61
Ga 0.2074 0.2074 0.5000  2 Zn 2.51, 2 Rh 2.56, 1 Ga 2.61
Ga 0.3366 0.6634 0.2500  1 Rh 2.46, 1 Zn 2.64
Ga 0.6634 0.3366 0.7500  1 Rh 2.46, 1 Zn 2.64
Ga 0.7926 0.7926 0.0000  2 Zn 2.51, 2 Rh 2.56, 1 Ga 2.61
Ga 0.7926 0.7926 0.5000  2 Zn 2.51, 2 Rh 2.56, 1 Ga 2.61
Rh 0.1303 0.8697 0.2500  5 Ga 2.46-2.56
Rh 0.8697 0.1303 0.7500  5 Ga 2.46-2.56

=====

no.,total magnetic moment (μB per formula unit)
1,0.000
2,23.000
3,0.000
4,0.000